Material: SrPtCl4
Method: DFT, GGA-PBE
State: relaxed

Computed properties:
**Formation energy (no corrections)**: 0.02 eV/f.u.
**Total moment**: 2.239 μB per formula unit
**ρ**: 4.8 g/cm³

Unit cell a=5.9198 b=5.9198 c=5.9198 alpha=60.00 beta=60.00 gamma=60.00
Closest atoms and distances in Å follow each position.
Atoms (fractional coordinates):
1 Sr 0.0000 0.0000 0.0000  12 Cl 3.47, 4 Pt 3.63
2 Pt 0.2500 0.2500 0.2500  12 Cl 3.47, 4 Sr 3.63
3 Cl 0.1256 0.6248 0.6248  6 Cl 2.95-2.96
4 Cl 0.6248 0.1256 0.6248  6 Cl 2.95-2.96
5 Cl 0.6248 0.6248 0.1256  6 Cl 2.95-2.96
6 Cl 0.6248 0.6248 0.6248  6 Cl 2.95-2.96